(1)
A geometry-optimized K12In3H5 structure, computed with PBE.

```
K12In3H5
1.0
-6.123 14.054 -4.211
5.804 -7.320 -12.863
-11.368 -8.989 6.535
In H K
12 20 48
Direct
0.750 0.375 0.125
0.875 0.750 0.125
0.375 0.750 0.625
0.250 0.125 0.375
0.875 0.125 0.250
0.375 0.625 0.250
0.625 0.375 0.750
0.125 0.875 0.750
0.750 0.875 0.625
0.625 0.250 0.375
0.125 0.250 0.875
0.250 0.625 0.875
0.125 0.375 0.250
0.000 0.500 0.000
0.000 0.000 0.000
0.375 0.250 0.125
0.500 0.000 0.500
0.500 0.500 0.000
0.125 0.750 0.375
0.750 0.125 0.875
0.750 0.625 0.375
0.375 0.125 0.750
0.625 0.875 0.250
0.500 0.500 0.500
0.500 0.000 0.000
0.000 0.000 0.500
0.250 0.375 0.625
0.250 0.875 0.125
0.000 0.500 0.500
0.875 0.250 0.625
0.625 0.750 0.875
0.875 0.625 0.750
0.697 0.112 0.012
0.316 0.512 0.400
0.988 0.388 0.303
0.512 0.197 0.112
0.584 0.697 0.684
0.988 0.600 0.184
0.316 0.803 0.416
0.100 0.916 0.112
0.600 0.988 0.684
0.697 0.584 0.184
0.803 0.488 0.388
0.816 0.900 0.012
0.112 0.697 0.512
0.388 0.400 0.084
0.084 0.900 0.388
0.416 0.112 0.600
0.084 0.184 0.197
0.488 0.684 0.100
0.816 0.916 0.303
0.112 0.416 0.100
0.388 0.988 0.803
0.600 0.612 0.416
0.900 0.816 0.512
0.803 0.316 0.916
0.400 0.388 0.584
0.100 0.184 0.488
0.197 0.684 0.084
0.184 0.084 0.697
0.612 0.012 0.197
0.888 0.584 0.900
0.512 0.316 0.900
0.584 0.888 0.400
0.916 0.816 0.803
0.916 0.100 0.612
0.888 0.303 0.488
0.184 0.100 0.988
0.612 0.600 0.916
0.400 0.012 0.316
0.303 0.416 0.816
0.197 0.512 0.612
0.900 0.084 0.888
0.684 0.197 0.584
0.488 0.803 0.888
0.012 0.400 0.816
0.416 0.303 0.316
0.012 0.612 0.697
0.684 0.488 0.600
0.303 0.888 0.988
```

Values from the calculation:
* DFT total energy: -1.882 eV/atom
* M_tot: 2.55 μB/cell
* SG: Ia-3d

---

(2)
A geometry-optimized K3InH structure, computed with PBE.

```
K3InH
1.0
5.596 0.000 0.000
0.000 5.596 0.000
0.000 0.000 5.596
H K In
1 3 1
Direct
0.000 0.000 0.000
0.000 0.500 0.000
0.000 0.000 0.500
0.500 0.000 0.000
0.500 0.500 0.500
```

Values from the calculation:
* DFT total energy: -1.894 eV/atom
* M_tot: 0.00 μB/cell
* SG: Pm-3m

---

(3)
A geometry-optimized K2MnInH6 structure, computed with PBE.

```
K2MnInH6
1.0
5.822 0.009 0.002
0.009 5.822 0.002
2.917 2.917 4.112
K Mn In H
2 1 1 6
Direct
0.750 0.250 0.500
0.250 0.750 0.500
0.500 0.500 0.000
0.000 0.000 0.000
0.284 0.284 0.432
0.717 0.717 0.000
0.283 0.717 0.000
0.717 0.283 0.000
0.283 0.283 0.000
0.716 0.716 0.568
```

Values from the calculation:
* DFT total energy: -3.432 eV/atom
* M_tot: 3.89 μB/cell
* SG: I4/mmm

---

(4)
A geometry-optimized KNaIn2H structure, computed with PBE.

```
KNaIn2H
1.0
6.464 0.000 0.000
0.000 4.307 0.000
0.000 0.000 6.464
Na K H In
1 1 1 2
Direct
0.500 0.500 0.500
0.000 0.000 0.000
0.000 0.500 0.000
0.000 0.000 0.500
0.500 0.000 0.000
```

Values from the calculation:
* DFT total energy: -1.689 eV/atom
* M_tot: 0.00 μB/cell
* SG: P4/mmm

---

(5)
A geometry-optimized K2Na2InH6 structure, computed with PBE.

```
K2Na2InH6
1.0
-5.144 -2.772 2.500
5.735 -1.354 2.380
-0.663 5.318 2.775
K Na In H
2 2 1 6
Direct
0.342 0.658 0.500
0.658 0.342 0.500
0.857 0.143 0.000
0.143 0.857 0.000
0.000 0.000 0.500
0.803 0.803 0.728
0.032 0.302 0.701
0.197 0.197 0.272
0.302 0.032 0.701
0.968 0.698 0.299
0.698 0.968 0.299
```

Values from the calculation:
* DFT total energy: -2.522 eV/atom
* M_tot: 0.00 μB/cell
* SG: C2/m

---

(6)
A geometry-optimized KNa2InH6 structure, computed with PBE.

```
KNa2InH6
1.0
-1.986 3.401 4.687
-4.101 -1.947 4.108
1.354 -1.169 5.856
K Na In H
1 2 1 6
Direct
0.477 0.477 0.477
0.213 0.213 0.213
0.700 0.700 0.700
0.008 0.008 0.008
0.375 0.045 0.854
0.045 0.854 0.375
0.941 0.235 0.651
0.651 0.941 0.235
0.854 0.375 0.045
0.235 0.651 0.941
```

Values from the calculation:
* DFT total energy: -2.691 eV/atom
* M_tot: 0.00 μB/cell
* SG: R3

---

(7)
A geometry-optimized KInH2O structure, computed with PBE.

```
KInH2O
1.0
4.066 0.000 0.000
0.000 4.258 0.000
0.000 0.000 4.066
H K O In
2 1 1 1
Direct
0.000 0.000 0.500
0.500 0.000 0.000
0.500 0.500 0.500
0.000 0.500 0.000
0.000 0.000 0.000
```

Values from the calculation:
* DFT total energy: -3.644 eV/atom
* M_tot: 0.00 μB/cell
* SG: P4/mmm

---

(8)
A geometry-optimized K2In2P2HO10 structure, computed with PBE.

```
K2In2P2HO10
1.0
9.462 0.000 0.000
0.000 9.544 0.000
0.000 0.000 11.325
K In P H O
8 8 8 4 40
Direct
0.985 0.975 0.406
0.515 0.025 0.906
0.485 0.525 0.594
0.015 0.475 0.094
0.264 0.637 0.326
0.236 0.363 0.826
0.764 0.863 0.674
0.736 0.137 0.174
0.857 0.615 0.380
0.643 0.385 0.880
0.357 0.885 0.620
0.143 0.115 0.120
0.610 0.652 0.121
0.890 0.348 0.621
0.110 0.848 0.879
0.390 0.152 0.379
0.069 0.657 0.627
0.431 0.343 0.127
0.569 0.843 0.373
0.931 0.157 0.873
0.929 0.817 0.134
0.571 0.183 0.634
0.429 0.683 0.866
0.071 0.317 0.366
0.654 0.448 0.279
0.846 0.552 0.779
0.154 0.052 0.721
0.346 0.948 0.221
0.972 0.714 0.525
0.528 0.286 0.025
0.472 0.786 0.475
0.028 0.214 0.975
0.509 0.775 0.258
0.991 0.225 0.758
0.009 0.725 0.742
0.491 0.275 0.242
0.434 0.504 0.138
0.066 0.496 0.638
0.934 0.996 0.862
0.566 0.004 0.362
0.768 0.815 0.114
0.732 0.185 0.614
0.268 0.685 0.886
0.232 0.315 0.386
0.723 0.515 0.248
0.777 0.485 0.748
0.223 0.985 0.752
0.277 0.015 0.252
0.756 0.484 0.510
0.744 0.516 0.010
0.256 0.016 0.490
0.244 0.984 0.990
0.510 0.749 0.972
0.990 0.251 0.472
0.010 0.751 0.028
0.490 0.249 0.528
0.973 0.729 0.245
0.527 0.271 0.745
0.473 0.771 0.755
0.027 0.229 0.255
0.030 0.472 0.344
0.470 0.528 0.844
0.530 0.028 0.656
0.970 0.972 0.156
0.724 0.800 0.401
0.776 0.200 0.901
0.224 0.700 0.599
0.276 0.300 0.099
```

Values from the calculation:
* DFT total energy: -6.077 eV/atom
* M_tot: 4.58 μB/cell
* SG: P2_12_12_1